1.
# Fe2Ni6Ir GGA-PBE relaxed
# energy of formation	0.1509	eV/atom
# DOS at the Fermi energy	15.56	states/eV/cell
# distance to the lowest polymorph of the same formula	1.71	eV per formula unit
# energy	-6.569	eV per atom
data_Fe2Ni6Ir
_chemical_formula_sum 'Fe4 Ni12 Ir2'
_cell_length_a 3.996
_cell_length_b 4.840
_cell_length_c 11.381
_cell_angle_alpha 90.00
_cell_angle_beta 90.00
_cell_angle_gamma 90.00
_space_group_name_H-M_alt 'I m m m'
_space_group_IT_number 71
_space_group_name_Hall '-I 2 2'
loop_
_atom_site_label
_atom_site_type_symbol
_atom_site_fract_x
_atom_site_fract_y
_atom_site_fract_z
Fe1 Fe 0.000 0.000 0.151
Ni1 Ni 0.000 0.238 0.392
Ni2 Ni 0.000 0.500 0.214
Ir1 Ir 0.000 0.500 0.000


2.
# YTlHAu2 GGA-PBE relaxed
# DOS at the Fermi energy	2.61	states/eV/cell
# energy	-4.001	eV per atom
data_YTlHAu2
_chemical_formula_sum 'Y1 Tl1 H1 Au2'
_cell_length_a 4.750
_cell_length_b 4.750
_cell_length_c 4.180
_cell_angle_alpha 90.00
_cell_angle_beta 90.00
_cell_angle_gamma 90.00
_space_group_name_H-M_alt 'P 4/m m m'
_space_group_IT_number 123
_space_group_name_Hall '-P 4 2'
loop_
_atom_site_label
_atom_site_type_symbol
_atom_site_fract_x
_atom_site_fract_y
_atom_site_fract_z
Y1 Y 0.000 0.000 0.000
Tl1 Tl 0.500 0.500 0.000
H1 H 0.000 0.000 0.500
Au1 Au 0.000 0.500 0.500


3.
# ScPaPN GGA-PBE relaxed
# DOS at the Fermi energy	4.00	states/eV/cell
# energy	-8.747	eV per atom
# raw formation energy	-130.83	kJ per mole of atoms
data_ScPaPN
_chemical_formula_sum 'Sc2 Pa2 P2 N2'
_cell_length_a 3.980
_cell_length_b 3.980
_cell_length_c 8.749
_cell_angle_alpha 90.00
_cell_angle_beta 90.00
_cell_angle_gamma 90.00
_space_group_name_H-M_alt 'P 4/n m m'
_space_group_IT_number 129
loop_
_space_group_symop_operation_xyz
'x,y,z'
'-x,-y,-z'
'-y+1/2,x,z'
'y+1/2,-x,-z'
'-x+1/2,-y+1/2,z'
'x+1/2,y+1/2,-z'
'y,-x+1/2,z'
'-y,x+1/2,-z'
'x+1/2,-y,-z'
'-x+1/2,y,z'
'-y,-x,-z'
'y,x,z'
'-x,y+1/2,-z'
'x,-y+1/2,z'
'y+1/2,x+1/2,-z'
'-y+1/2,-x+1/2,z'
loop_
_atom_site_label
_atom_site_type_symbol
_atom_site_fract_x
_atom_site_fract_y
_atom_site_fract_z
Sc1 Sc 0.250 0.750 0.000
Pa1 Pa 0.250 0.250 0.367
P1 P 0.250 0.250 0.798
N1 N 0.250 0.750 0.500


4.
# Th3BiRhC GGA-PBE relaxed
# energy of formation	-0.5400	eV/atom
# DOS at the Fermi energy	6.27	states/eV/cell
# energy	-7.659	eV per atom
data_Th3BiRhC
_chemical_formula_sum 'Th6 Bi2 Rh2 C2'
_cell_length_a 8.941
_cell_length_b 3.927
_cell_length_c 9.485
_cell_angle_alpha 90.00
_cell_angle_beta 113.02
_cell_angle_gamma 90.00
_space_group_name_H-M_alt 'P 1 21/m 1'
_space_group_IT_number 11
loop_
_space_group_symop_operation_xyz
'x,y,z'
'-x,-y,-z'
'-x,y+1/2,-z'
'x,-y+1/2,z'
loop_
_atom_site_label
_atom_site_type_symbol
_atom_site_fract_x
_atom_site_fract_y
_atom_site_fract_z
Th1 Th 0.059 0.250 0.376
Th2 Th 0.194 0.250 0.948
Th3 Th 0.367 0.750 0.703
Bi1 Bi 0.311 0.750 0.296
Rh1 Rh 0.428 0.750 0.059
C1 C 0.151 0.250 0.667


5.
# ZnCd7Hg6 GGA-PBE relaxed
# energy of formation	0.0551	eV/atom
# DOS at the Fermi energy	19.30	states/eV/cell
# energy	-0.623	eV per atom
data_ZnCd7Hg6
_chemical_formula_sum 'Zn4 Cd28 Hg24'
_cell_length_a 6.128
_cell_length_b 19.371
_cell_length_c 11.612
_cell_angle_alpha 90.00
_cell_angle_beta 90.00
_cell_angle_gamma 90.00
_space_group_name_H-M_alt 'I b a m'
_space_group_IT_number 72
_space_group_name_Hall '-I 2 2c'
loop_
_atom_site_label
_atom_site_type_symbol
_atom_site_fract_x
_atom_site_fract_y
_atom_site_fract_z
Zn1 Zn 0.000 0.000 0.250
Cd1 Cd 0.000 0.500 0.250
Cd2 Cd 0.116 0.236 0.129
Cd3 Cd 0.237 0.008 0.500
Hg1 Hg 0.112 0.368 0.500
Hg2 Hg 0.225 0.122 0.319


6.
# Ba2IrCSe GGA-PBE relaxed
# DOS at the Fermi energy	3.30	states/eV/cell
# energy	-5.740	eV per atom
# raw formation energy	-63.36	kJ per mole of atoms
data_Ba2IrCSe
_chemical_formula_sum 'Ba2 Ir1 C1 Se1'
_cell_length_a 5.900
_cell_length_b 5.900
_cell_length_c 3.877
_cell_angle_alpha 90.00
_cell_angle_beta 90.00
_cell_angle_gamma 90.00
_space_group_name_H-M_alt 'P 4/m m m'
_space_group_IT_number 123
_space_group_name_Hall '-P 4 2'
loop_
_atom_site_label
_atom_site_type_symbol
_atom_site_fract_x
_atom_site_fract_y
_atom_site_fract_z
Ba1 Ba 0.000 0.500 0.000
Ir1 Ir 0.000 0.000 0.500
C1 C 0.000 0.000 0.000
Se1 Se 0.500 0.500 0.500


7.
# PrNd2Zn8 GGA-PBE relaxed
# energy of formation	-0.3067	eV/atom
# DOS at the Fermi energy	11.92	states/eV/cell
# energy	-2.535	eV per atom
data_PrNd2Zn8
_chemical_formula_sum 'Pr2 Nd4 Zn16'
_cell_length_a 7.861
_cell_length_b 15.022
_cell_length_c 4.888
_cell_angle_alpha 90.00
_cell_angle_beta 128.32
_cell_angle_gamma 90.00
_space_group_name_H-M_alt 'C 1 2/m 1'
_space_group_IT_number 12
loop_
_space_group_symop_operation_xyz
'x,y,z'
'-x,-y,-z'
'-x,y,-z'
'x,-y,z'
'x+1/2,y+1/2,z'
'-x+1/2,-y+1/2,-z'
'-x+1/2,y+1/2,-z'
'x+1/2,-y+1/2,z'
loop_
_atom_site_label
_atom_site_type_symbol
_atom_site_fract_x
_atom_site_fract_y
_atom_site_fract_z
Pr1 Pr 0.000 0.000 0.000
Nd1 Nd 0.000 0.306 0.500
Zn1 Zn 0.000 0.197 0.000
Zn2 Zn 0.000 0.500 0.248
Zn3 Zn 0.224 0.120 0.724


8.
# BeAsNO2 GGA-PBE relaxed
# DOS at the Fermi energy	1.99	states/eV/cell
# energy	-5.063	eV per atom
# raw formation energy	25.10	kJ per mole of atoms
data_BeAsNO2
_chemical_formula_sum 'Be1 As1 N1 O2'
_cell_length_a 3.617
_cell_length_b 3.617
_cell_length_c 3.802
_cell_angle_alpha 90.00
_cell_angle_beta 90.00
_cell_angle_gamma 90.00
_space_group_name_H-M_alt 'P 4/m m m'
_space_group_IT_number 123
_space_group_name_Hall '-P 4 2'
loop_
_atom_site_label
_atom_site_type_symbol
_atom_site_fract_x
_atom_site_fract_y
_atom_site_fract_z
Be1 Be 0.000 0.000 0.000
As1 As 0.500 0.500 0.500
N1 N 0.500 0.500 0.000
O1 O 0.000 0.500 0.500


Among the records above, which one has the lowest DOS at the Fermi energy? BeAsNO2


What did the sixth record say?
# Ba2IrCSe GGA-PBE relaxed
# DOS at the Fermi energy	3.30	states/eV/cell
# energy	-5.740	eV per atom
# raw formation energy	-63.36	kJ per mole of atoms
data_Ba2IrCSe
_chemical_formula_sum 'Ba2 Ir1 C1 Se1'
_cell_length_a 5.900
_cell_length_b 5.900
_cell_length_c 3.877
_cell_angle_alpha 90.00
_cell_angle_beta 90.00
_cell_angle_gamma 90.00
_space_group_name_H-M_alt 'P 4/m m m'
_space_group_IT_number 123
_space_group_name_Hall '-P 4 2'
loop_
_atom_site_label
_atom_site_type_symbol
_atom_site_fract_x
_atom_site_fract_y
_atom_site_fract_z
Ba1 Ba 0.000 0.500 0.000
Ir1 Ir 0.000 0.000 0.500
C1 C 0.000 0.000 0.000
Se1 Se 0.500 0.500 0.500